# 1
5
Lattice="5.4070 0.0000 0.0000 0.0000 5.4070 0.0000 0.0000 0.0000 5.4070" Properties=species:S:1:pos:R:3 comment="SrTcPb3 | the Alexandria database | PBE | relaxed" space_group="Pm-3m (221)" relative_energy_mev_per_atom=0.0 rho_g_cm3=8.5 pbc="T T T"
Sr 0.0000 0.0000 0.0000
Tc 2.7035 2.7035 2.7035
Pb 0.0000 2.7035 2.7035
Pb 2.7035 0.0000 2.7035
Pb 2.7035 2.7035 0.0000

# 2
10
Lattice="3.5609 0.0000 0.0000 0.0000 3.5609 0.0000 0.0000 0.0000 19.3957" Properties=species:S:1:pos:R:3 comment="ErTm5Ag4 | the Alexandria database | PBE | relaxed" space_group="P4/mmm (123)" rho_g_cm3=9.7 pbc="T T T"
Er 0.0000 0.0000 0.0000
Tm 1.7805 1.7805 2.4207
Tm 1.7805 1.7805 6.0459
Tm 1.7805 1.7805 9.6978
Tm 1.7805 1.7805 13.3497
Tm 1.7805 1.7805 16.9750
Ag 0.0000 0.0000 4.2373
Ag 0.0000 0.0000 7.8908
Ag 0.0000 0.0000 11.5049
Ag 0.0000 0.0000 15.1584

# 3
8
Lattice="7.6809 0.0000 0.0000 0.0000 4.4443 0.0000 -2.5530 0.0000 5.6820" Properties=species:S:1:pos:R:3 comment="BaLiGePt | the Alexandria database | PBE | relaxed" space_group="Cm (8)" rho_g_cm3=7.1 pbc="T T T"
Ba 0.0000 0.0000 0.0000
Ba 3.8405 2.2221 0.0000
Li 0.0058 0.0000 3.1302
Li 3.8462 2.2221 3.1302
Ge 2.5613 0.0000 2.5252
Ge 6.4017 2.2221 2.5252
Pt 1.2866 2.2221 2.3694
Pt 5.1271 0.0000 2.3694

# 4
12
Lattice="4.1401 0.0000 0.0000 0.0000 5.8759 0.0000 0.0000 0.0000 12.4845" Properties=species:S:1:pos:R:3 comment="CeEr2Ge3 | the Alexandria database | PBE | relaxed" space_group="Immm (71)" rho_g_cm3=7.6 pbc="T T T"
Ce 0.0000 0.0000 0.0000
Ce 2.0700 2.9380 6.2423
Er 0.0000 0.0000 4.1568
Er 0.0000 0.0000 8.3277
Er 2.0700 2.9380 2.0854
Er 2.0700 2.9380 10.3991
Ge 0.0000 2.9380 0.0000
Ge 0.0000 2.9380 4.1566
Ge 0.0000 2.9380 8.3279
Ge 2.0700 0.0000 2.0856
Ge 2.0700 0.0000 6.2423
Ge 2.0700 0.0000 10.3989

no.,raw total energy (eV per atom)
1,-4.4607
2,-4.0920
3,-4.2953
4,-5.4611